# 1
Material: TaZnTcNi
Method: DFT, PBE
State: optimized geometry

a b c (Å): 4.3331 4.3331 4.3331
angles (deg): 60.00 60.00 60.00
Last column: nearest neighbours and their distance in Å.
Fractional coordinates of all 4 atoms:
1 Zn 0.0000 0.0000 0.0000  4 Ni 2.65, 4 Tc 2.65
2 Ta 0.5000 0.5000 0.5000  4 Tc 2.65, 4 Ni 2.65
3 Ni 0.7500 0.7500 0.7500  4 Zn 2.65, 4 Ta 2.65
4 Tc 0.2500 0.2500 0.2500  4 Ta 2.65, 4 Zn 2.65

Results
formation enthalpy at 0 K	-0.14	eV/atom
VASP energy	-7.403	eV/atom
SG	F-43m
volume	58	Å³ per cell
E above lowest polymorph	0.0	meV per atom



# 2
Material: Sc4Fe3W2C3
Method: DFT, PBE
State: optimized geometry

a b c (Å): 5.5248 5.5248 13.9880
angles (deg): 102.05 102.05 56.83
Last column: nearest neighbours and their distance in Å.
Fractional coordinates of all 24 atoms:
1 W 0.5258 0.3477 0.5784  3 C 2.04-2.09
2 W 0.4742 0.6523 0.4216  3 C 2.04-2.09
3 W 0.3477 0.5258 0.0784  3 C 2.04-2.09
4 W 0.6523 0.4742 0.9216  3 C 2.04-2.09
5 C 0.8163 0.3399 0.5011  2 W 2.04-2.09, 1 Sc 2.26
6 C 0.1837 0.6601 0.4989  2 W 2.04-2.09, 1 Sc 2.26
7 C 0.0000 0.5000 0.0000  2 W 2.07, 2 Sc 2.26
8 C 0.5000 0.0000 0.5000  2 W 2.07, 2 Sc 2.26
9 C 0.3399 0.8163 0.0011  2 W 2.04-2.09, 1 Sc 2.26
10 C 0.6601 0.1837 0.9989  2 W 2.04-2.09, 1 Sc 2.26
11 Sc 0.6955 0.8799 0.1008  3 C 2.26-2.33
12 Sc 0.9579 0.8046 0.8969  3 C 2.26-2.33
13 Sc 0.1201 0.3045 0.3992  3 C 2.26-2.33
14 Sc 0.0421 0.1954 0.1031  3 C 2.26-2.33
15 Sc 0.1954 0.0421 0.6031  3 C 2.26-2.33
16 Sc 0.3045 0.1201 0.8992  3 C 2.26-2.33
17 Sc 0.8799 0.6955 0.6008  3 C 2.26-2.33
18 Sc 0.8046 0.9579 0.3969  3 C 2.26-2.33
19 Fe 0.0866 0.9134 0.7500  4 Sc 2.56-2.58, 2 Fe 2.63
20 Fe 0.4194 0.3461 0.7495  1 Fe 2.28
21 Fe 0.3461 0.4194 0.2495  1 Fe 2.28
22 Fe 0.6539 0.5806 0.7505  1 Fe 2.28
23 Fe 0.5806 0.6539 0.2505  1 Fe 2.28
24 Fe 0.9134 0.0866 0.2500  4 Sc 2.56-2.58, 2 Fe 2.63

Results
VASP energy	-8.762	eV/atom
SG	C2/c
volume	347	Å³ per cell



# 3
Material: Li4InAg2Sn
Method: DFT, PBE
State: optimized geometry

a b c (Å): 4.6287 4.6287 6.5319
angles (deg): 90.00 90.00 90.00
Last column: nearest neighbours and their distance in Å.
Fractional coordinates of all 8 atoms:
1 Li 0.0000 0.0000 0.5000  4 Li 2.83, 4 Ag 2.83
2 Li 0.5000 0.0000 0.2503  2 Sn 2.83, 4 Li 2.83, 2 In 2.83
3 Li 0.0000 0.5000 0.7497  2 Sn 2.83, 4 Li 2.83, 2 In 2.83
4 Li 0.5000 0.5000 0.0000  4 Ag 2.83, 4 Li 2.83
5 Ag 0.5000 0.0000 0.7498  2 Sn 2.83, 4 Li 2.83, 2 In 2.83
6 Ag 0.0000 0.5000 0.2502  2 Sn 2.83, 4 Li 2.83, 2 In 2.83
7 In 0.0000 0.0000 0.0000  4 Ag 2.83, 4 Li 2.83
8 Sn 0.5000 0.5000 0.5000  4 Li 2.83, 4 Ag 2.83

Results
VASP energy	-2.837	eV/atom
SG	P-4m2
volume	140	Å³ per cell



# 4
Material: PmTlCo
Method: DFT, PBE
State: optimized geometry

a b c (Å): 4.9079 4.9079 4.9079
angles (deg): 60.00 60.00 60.00
Last column: nearest neighbours and their distance in Å.
Fractional coordinates of all 3 atoms:
1 Co 0.2500 0.2500 0.2500  4 Pm 3.01
2 Pm 0.0000 0.0000 0.0000  4 Tl 3.01, 4 Co 3.01
3 Tl 0.7500 0.7500 0.7500  4 Pm 3.01

Results
VASP energy	-4.086	eV/atom
SG	F-43m
volume	84	Å³ per cell
E above lowest polymorph	626.8	meV per atom



# 5
Material: LiAgBr2
Method: DFT, PBE
State: optimized geometry

a b c (Å): 4.3246 4.3246 7.0143
angles (deg): 90.00 90.00 120.00
Last column: nearest neighbours and their distance in Å.
Fractional coordinates of all 4 atoms:
1 Br 0.0000 0.0000 0.4801  3 Li 2.59, 1 Ag 2.69
2 Br 0.3333 0.6667 0.0153  1 Li 2.56, 3 Ag 2.71
3 Li 0.3333 0.6667 0.3803  4 Br 2.56-2.59
4 Ag 0.0000 0.0000 0.8642  4 Br 2.69-2.71

Results
VASP energy	-2.965	eV/atom
SG	P3m1
volume	114	Å³ per cell



# 6
Material: CsCuTcTe2S
Method: DFT, PBE
State: optimized geometry

a b c (Å): 8.8611 8.8611 9.9180
angles (deg): 90.00 90.00 154.53
Last column: nearest neighbours and their distance in Å.
Fractional coordinates of all 12 atoms:
1 Te 0.1105 0.8895 0.5414  1 Cu 2.58, 2 Tc 2.76
2 Te 0.8895 0.1105 0.4586  1 Cu 2.58, 2 Tc 2.76
3 Te 0.8895 0.1105 0.0414  1 Cu 2.58, 2 Tc 2.76
4 Te 0.1105 0.8895 0.9586  1 Cu 2.58, 2 Tc 2.76
5 Cu 0.9783 0.0217 0.2500  2 S 2.30, 2 Te 2.58
6 Cu 0.0217 0.9783 0.7500  2 S 2.30, 2 Te 2.58
7 Cs 0.2403 0.7597 0.2500  6 Te 3.66-3.84, 2 S 3.85, 2 Cs 3.91
8 Cs 0.7597 0.2403 0.7500  6 Te 3.66-3.84, 2 S 3.85, 2 Cs 3.91
9 Tc 0.5000 0.5000 0.0000  2 S 2.62, 4 Te 2.76
10 Tc 0.5000 0.5000 0.5000  2 S 2.62, 4 Te 2.76
11 S 0.5485 0.4515 0.2500  2 Cu 2.30
12 S 0.4515 0.5485 0.7500  2 Cu 2.30

Results
VASP energy	-4.502	eV/atom
SG	Cmcm
volume	335	Å³ per cell



Look up the volume of the third one. 140 Å³ per cell